Record 1
The following is a DFT calculation (GGA-PBE) of a geometry-optimized TlZnGaF6 structure.

Output
Size of the total moment ... 0.00 Bohr magnetons per cell
Symmetry ... Imma, No. 74
Uncorrected formation energy ... -2.379 eV/atom

a = 7.278 Å, b = 7.439 Å, c = 7.377 Å
α = 120.28°, β = 119.56°, γ = 90.00°
Element x y z (fractional)
Tl: 0.903 0.653 0.806
Zn: 0.000 0.000 0.500
Zn: 0.500 0.000 0.500
F: 0.567 0.923 0.756
F: 0.810 0.077 0.244
F: 0.190 0.333 0.756
F: 0.443 0.693 0.886
F: 0.557 0.307 0.114
F: 0.810 0.667 0.244
Tl: 0.097 0.347 0.194
F: 0.567 0.333 0.756
F: 0.433 0.077 0.244
F: 0.190 0.923 0.756
Ga: 0.500 0.000 0.000
F: 0.167 0.917 0.334
F: 0.833 0.083 0.666
F: 0.433 0.667 0.244
Ga: 0.500 0.500 0.000


Record 2
The following is a DFT calculation (GGA-PBE) of a geometry-optimized TmGaF structure.

Output
Size of the total moment ... 0.00 Bohr magnetons per cell
Symmetry ... I4mm, No. 107
Polymorph energy (0 for the lowest one) ... 255.7 meV/atom
Uncorrected formation energy ... -1.483 eV/atom

a = 3.190 Å, b = 3.190 Å, c = 6.020 Å
α = 105.36°, β = 105.36°, γ = 90.00°
Element x y z (fractional)
F: 0.275 0.275 0.550
Tm: 0.719 0.719 0.438
Ga: 0.006 0.006 0.013


Record 3
The following is a DFT calculation (GGA-PBE) of a geometry-optimized TmGaF structure.

Output
Size of the total moment ... 0.00 Bohr magnetons per cell
Symmetry ... P4/nmm, No. 129
Polymorph energy (0 for the lowest one) ... 0.0 meV/atom
Uncorrected formation energy ... -1.739 eV/atom

a = 3.335 Å, b = 3.335 Å, c = 8.911 Å
α = 90.00°, β = 90.00°, γ = 90.00°
Element x y z (fractional)
Ga: 0.000 0.500 0.587
F: 0.500 0.000 0.064
Tm: 0.500 0.000 0.805
Ga: 0.500 0.000 0.413
F: 0.000 0.500 0.936
Tm: 0.000 0.500 0.195


Record 4
The following is a DFT calculation (GGA-PBE) of a geometry-optimized Tm2GaF8 structure.

Output
Size of the total moment ... 0.91 Bohr magnetons per cell
Symmetry ... C2/m, No. 12
Uncorrected formation energy ... -3.510 eV/atom

a = 5.152 Å, b = 5.804 Å, c = 5.804 Å
α = 73.37°, β = 101.70°, γ = 101.70°
Element x y z (fractional)
F: 0.707 0.651 0.042
Tm: 0.570 0.321 0.321
Ga: 0.000 0.000 0.000
F: 0.751 0.561 0.561
F: 0.707 0.042 0.651
F: 0.293 0.958 0.349
F: 0.215 0.845 0.845
F: 0.293 0.349 0.958
Tm: 0.430 0.679 0.679
F: 0.249 0.439 0.439
F: 0.785 0.155 0.155


Record 5
The following is a DFT calculation (GGA-PBE) of a geometry-optimized UGa2F8 structure.

Output
Size of the total moment ... 1.20 Bohr magnetons per cell
Symmetry ... C2/m, No. 12
Uncorrected formation energy ... -2.701 eV/atom

a = 5.235 Å, b = 6.908 Å, c = 6.908 Å
α = 45.16°, β = 96.42°, γ = 96.42°
Element x y z (fractional)
F: 0.277 0.338 0.830
F: 0.217 0.383 0.383
F: 0.783 0.617 0.617
F: 0.186 0.869 0.869
Ga: 0.499 0.687 0.687
F: 0.723 0.662 0.170
U: 0.000 0.000 0.000
F: 0.814 0.131 0.131
Ga: 0.501 0.313 0.313
F: 0.723 0.170 0.662
F: 0.277 0.830 0.338


Record 6
The following is a DFT calculation (GGA-PBE) of a geometry-optimized UGaF6 structure.

Output
Size of the total moment ... 1.00 Bohr magnetons per cell
Symmetry ... C2/m, No. 12
Uncorrected formation energy ... -3.073 eV/atom

a = 5.382 Å, b = 5.382 Å, c = 5.777 Å
α = 95.02°, β = 95.02°, γ = 108.67°
Element x y z (fractional)
F: 0.019 0.340 0.215
U: 0.000 0.000 0.000
F: 0.764 0.764 0.222
F: 0.340 0.019 0.215
F: 0.660 0.981 0.785
F: 0.981 0.660 0.785
F: 0.236 0.236 0.778
Ga: 0.500 0.500 0.500


Which value of uncorrected formation energy does entry 5 give? -2.701 eV/atom


The lowest uncorrected formation energy belongs to which entry? Tm2GaF8


The highest size of the total moment belongs to which entry? UGa2F8


Which of these has the highest size of the total moment? UGa2F8